Record 1
The following is a DFT calculation (PBE) of crystalline NbNiGe2 at its relaxed geometry.

Total magnetization (μB/f.u.): 0.00
Density of states at the Fermi level (states/eV per cell): 2.49
VASP energy (Ha/atom): -0.237
ΔE_f (eV per atom): -0.172

Cell lengths 4.190, 4.190, 3.423 Å; angles 90.00, 90.00, 90.00 degrees
Space group P4/mmm (No. 123)
Asymmetric unit:
1 Nb 0.000 0.000 0.000
2 Ni 0.500 0.500 0.000
3 Ge 0.000 0.500 0.500

***

Record 2
The following is a DFT calculation (PBE) of crystalline Nb2Ni2Ge at its relaxed geometry.

Total magnetization (μB/f.u.): 0.00
Density of states at the Fermi level (states/eV per cell): 5.01
VASP energy (Ha/atom): -0.275
ΔE_f (eV per atom): -0.227

Cell lengths 6.343, 6.343, 3.671 Å; angles 90.00, 90.00, 90.00 degrees
Space group P4/mbm (No. 127)
Asymmetric unit:
1 Nb 0.172 0.328 0.000
2 Ni 0.132 0.632 0.500
3 Ge 0.000 0.000 0.500